[1]
Material: ReTcW2
Method: DFT, SCAN
State: single point on PBEsol structure

Its crystal system is orthorhombic. As for the excess energy over the best structure of this formula in the dataset: 0.042 eV/atom. The formation energy is 0.069 eV/atom.

Cell and atoms, written as POSCAR:
```
ReTcW2
1.0
3.0991 0.0000 0.0000
0.0000 4.4443 0.0000
-1.5496 -2.2221 4.3725
Re Tc W
1 1 2
Cartesian
1.5496 0.0000 0.0000
0.0000 2.2221 0.0000
0.0000 0.0000 2.1609
1.5496 2.2221 2.2116
```


[2]
Material: LaTiMnS2
Method: DFT, SCAN
State: single point on PBEsol structure

Its crystal system is tetragonal. The value obtained for the formation energy from raw total energies is -0.694 eV/atom.

Cell and atoms, written as POSCAR:
```
LaTiMnS2
1.0
-2.3641 2.7252 -2.0590
-1.7595 -3.4858 -2.5934
-3.4293 -0.6038 3.1381
La Mn Ti S
1 1 1 2
Cartesian
-3.7764 -0.6822 -0.7572
0.0000 0.0000 0.0000
-1.1820 1.3626 -1.0295
-0.8797 -1.7429 -1.2967
-1.7146 -0.3019 1.5691
```


[3]
Material: AlPd2Br
Method: DFT, SCAN
State: single point on PBEsol structure

Its crystal system is tetragonal. The value obtained for the formation energy from raw total energies is -0.068 eV/atom.

Cell and atoms, written as POSCAR:
```
AlPd2Br
1.0
-2.3420 -3.1247 -1.4610
-0.3189 -1.5622 3.8524
-5.5505 6.9028 0.0836
Br Al Pd
2 2 4
Cartesian
-3.6000 1.4985 2.5659
0.0000 0.0000 0.0000
-4.6115 0.7173 -0.0909
-1.3305 -2.3435 1.1957
-2.5911 -0.8747 2.8151
-4.5018 4.5604 0.4376
-5.8197 2.2785 1.4813
-3.5103 -1.5326 0.2160
```


[4]
Material: Ti2Sb2O7
Method: DFT, SCAN
State: single point on PBEsol structure

Its crystal system is monoclinic. The value obtained for the formation energy from raw total energies is -2.378 eV/atom.

Cell and atoms, written as POSCAR:
```
Ti2Sb2O7
1.0
5.5326 0.0000 0.0000
0.0000 7.8465 -0.0493
0.0000 -1.8898 12.7838
O Ti Sb
28 8 8
Cartesian
5.4521 3.5333 2.8177
5.4793 5.9375 7.2999
2.6486 -0.0306 2.6993
4.2758 5.8715 3.9088
2.7847 3.9983 2.5061
0.9758 1.9819 1.1003
4.9950 4.0545 0.1699
2.6858 2.4235 9.9167
3.7421 3.9749 11.6342
5.0984 7.6781 0.0422
5.4149 5.9873 10.0352
2.2287 1.9022 12.5646
2.5175 4.0150 5.2296
5.3732 0.4291 2.7446
0.8892 5.8915 1.4280
1.5096 0.0852 8.8257
2.6069 5.5276 9.9899
5.2879 3.9838 5.6893
2.4901 5.8777 7.1737
2.3321 -1.7213 12.6922
0.0184 1.9584 10.2284
5.2838 1.9417 7.5049
3.6555 0.0652 11.3065
2.7130 0.0192 5.4346
0.9227 3.9295 8.6748
5.2564 0.0790 5.5607
2.5216 1.9729 7.0452
3.6890 2.0272 4.0597
4.1280 1.9559 11.2497
1.3569 -0.0441 1.5123
4.1280 -0.1506 4.0877
4.1232 6.0008 11.2221
4.0687 4.0517 4.1842
1.3617 6.1074 8.6468
1.3617 4.0008 1.4847
1.3024 1.9050 8.5503
3.9961 0.2168 7.1613
1.2298 5.7400 5.5732
4.4274 2.0544 1.8357
4.5976 4.0006 7.6505
1.8313 1.9561 5.0840
1.5724 0.0514 11.8290
1.6611 3.9023 10.8987
4.3387 5.9053 0.9055
```


[5]
Material: TlAg2Au2
Method: DFT, SCAN
State: single point on PBEsol structure

Its crystal system is tetragonal. As for the excess energy over the best structure of this formula in the dataset: 0.000 eV/atom. The formation energy is 0.007 eV/atom.

Cell and atoms, written as POSCAR:
```
TlAg2Au2
1.0
3.0114 0.0000 0.0000
0.0000 7.9537 0.0000
0.0000 0.0000 7.9537
Au Tl Ag
4 2 4
Cartesian
0.0000 4.9981 1.0212
0.0000 6.9325 4.9981
0.0000 1.0212 2.9556
0.0000 2.9556 6.9325
0.0000 0.0000 0.0000
0.0000 3.9769 3.9769
1.5057 2.6424 1.3345
1.5057 5.3113 6.6192
1.5057 6.6192 2.6424
1.5057 1.3345 5.3113
```


[6]
Material: Ca2GaNiBi
Method: DFT, SCAN
State: single point on PBEsol structure

Its crystal system is tetragonal. The formation energy is 0.405 eV/atom.

Cell and atoms, written as POSCAR:
```
Ca2GaNiBi
1.0
-4.4620 -2.6227 0.3479
2.5989 -4.6307 -1.5771
1.1079 -1.1823 5.2971
Ga Ni Bi Ca
1 1 1 2
Cartesian
0.0000 0.0000 0.0000
-0.3776 -4.2178 2.0340
-2.2310 -1.3114 0.1740
0.5540 -0.5911 2.6486
1.2994 -2.3153 -0.7886
```


[7]
Material: Rb2AgPdF6
Method: DFT, SCAN
State: single point on PBEsol structure

Its crystal system is cubic. The value obtained for the formation energy from raw total energies is -2.107 eV/atom.

Cell and atoms, written as POSCAR:
```
Rb2AgPdF6
1.0
6.0971 0.0000 0.0000
3.0485 5.2802 0.0000
3.0485 1.7601 4.9783
F Rb Ag Pd
6 2 1 1
Cartesian
6.0971 1.6823 1.1896
7.6887 2.6012 3.7887
4.5055 2.6012 3.7887
6.0971 5.3580 3.7887
4.5055 4.4391 1.1896
7.6887 4.4391 1.1896
3.0485 1.7601 1.2446
9.1456 5.2802 3.7337
6.0971 3.5202 2.4891
0.0000 0.0000 0.0000
```


[8]
Material: TiHgCl2
Method: DFT, SCAN
State: single point on PBEsol structure

Its crystal system is trigonal. The value obtained for the formation energy from raw total energies is -1.137 eV/atom.

Cell and atoms, written as POSCAR:
```
TiHgCl2
1.0
3.1909 0.0000 0.0000
1.5954 2.7634 0.0000
1.5954 0.9211 10.0382
Hg Ti Cl
1 1 2
Cartesian
0.0000 0.0000 0.0000
3.1909 1.8423 5.0191
1.5955 0.9211 6.6233
4.7863 2.7634 3.4149
```